1.
Below is an optimized crystal structure of ZrNbCr, with properties calculated at the PBE-GGA level.

Summary:
The energy of formation comes out at 0.0364 eV/atom. The total magnetic moment is 0.0 μB/f.u.

Cell: 5.235 5.527 7.384 Å, 90.00 90.00 90.00°
Element x y z (fractional)
Zr1 0.000 0.750 0.880
Nb1 0.000 0.000 0.500
Nb2 0.000 0.500 0.500
Zr2 0.500 0.750 0.620
Nb3 0.500 0.500 0.000
Zr3 0.000 0.250 0.120
Cr1 0.250 0.250 0.750
Cr2 0.250 0.750 0.250
Cr3 0.750 0.750 0.250
Cr4 0.750 0.250 0.750
Nb4 0.500 0.000 0.000
Zr4 0.500 0.250 0.380

***

2.
Below is an optimized crystal structure of ZrNb2Cr, with properties calculated at the PBE-GGA level.

Summary:
The energy of formation comes out at 0.6490 eV/atom. The total magnetic moment is 2.2 μB/f.u.

Cell: 3.896 3.896 10.565 Å, 79.37 79.37 90.00°
Element x y z (fractional)
Nb1 0.621 0.125 0.250
Zr1 0.750 0.250 0.500
Nb2 0.129 0.625 0.250
Nb3 0.375 0.379 0.750
Nb4 0.875 0.871 0.750
Cr1 0.250 0.750 0.500
Cr2 0.500 0.500 0.000
Zr2 0.000 0.000 0.000

***

Summary of energy above the lowest structure with this stoichiometry in kcal/mol of atoms
0.00 12.65
(order as listed above)